#w
First-principles (GGA-PBE) data for a relaxed structure of RbLi3Te, as listed in the Alexandria database.

```
data_RbLi3Te
_symmetry_space_group_name_H-M 'P m -3 m'
_symmetry_Int_Tables_number 221
_symmetry_space_group_name_Hall '-P 4 2 3'
_cell_length_a 5.525
_cell_length_b 5.525
_cell_length_c 5.525
_cell_angle_alpha 90.00
_cell_angle_beta 90.00
_cell_angle_gamma 90.00
loop_
_atom_site_label
_atom_site_fract_x
_atom_site_fract_y
_atom_site_fract_z
Rb1 0.000 0.000 0.000
Li1 0.000 0.500 0.500
Te1 0.500 0.500 0.500
```


#x
First-principles (GGA-PBE) data for a relaxed structure of RbLi3Te, as listed in the Alexandria database.

```
data_RbLi3Te
_symmetry_space_group_name_H-M 'P m -3 m'
_symmetry_Int_Tables_number 221
_symmetry_space_group_name_Hall '-P 4 2 3'
_cell_length_a 5.611
_cell_length_b 5.611
_cell_length_c 5.611
_cell_angle_alpha 90.00
_cell_angle_beta 90.00
_cell_angle_gamma 90.00
loop_
_atom_site_label
_atom_site_fract_x
_atom_site_fract_y
_atom_site_fract_z
Rb1 0.000 0.000 0.000
Li1 0.000 0.000 0.500
Te1 0.500 0.500 0.500
```


Most stable structure: #w


#w
First-principles (GGA-PBE) data for a relaxed structure of RbLiTe3, as listed in the Alexandria database.

```
data_RbLiTe3
_symmetry_space_group_name_H-M 'P m -3 m'
_symmetry_Int_Tables_number 221
_symmetry_space_group_name_Hall '-P 4 2 3'
_cell_length_a 6.299
_cell_length_b 6.299
_cell_length_c 6.299
_cell_angle_alpha 90.00
_cell_angle_beta 90.00
_cell_angle_gamma 90.00
loop_
_atom_site_label
_atom_site_fract_x
_atom_site_fract_y
_atom_site_fract_z
Rb1 0.000 0.000 0.000
Li1 0.500 0.500 0.500
Te1 0.000 0.000 0.500
```


#x
First-principles (GGA-PBE) data for a relaxed structure of RbLiTe3, as listed in the Alexandria database.

```
data_RbLiTe3
_symmetry_space_group_name_H-M 'P m -3 m'
_symmetry_Int_Tables_number 221
_symmetry_space_group_name_Hall '-P 4 2 3'
_cell_length_a 5.388
_cell_length_b 5.388
_cell_length_c 5.388
_cell_angle_alpha 90.00
_cell_angle_beta 90.00
_cell_angle_gamma 90.00
loop_
_atom_site_label
_atom_site_fract_x
_atom_site_fract_y
_atom_site_fract_z
Rb1 0.000 0.000 0.000
Li1 0.500 0.500 0.500
Te1 0.000 0.500 0.500
```


Most stable structure: #x